No. 1
The following is a GGA-PBE calculation of crystalline In3Co at its relaxed geometry, from the Alexandria database.

Results
Symmetry   No. 12
Calculated volume   21.2 Å³ per atom
E_tot   -14.104 eV for the cell shown
Size of the total moment   0.922 μB per formula unit
Theoretical density   7.89 Mg/m³

a b c (Å): 4.9068 4.9068 5.7251
angles (deg): 75.67 75.67 39.65
Each line ends with the local moment (μB).
Fractional positions:
In 0.5000 0.5000 0.5000  0.00
In 0.2736 0.2736 0.2062  -0.02
In 0.7264 0.7264 0.7938  -0.02
Co 0.0000 0.0000 0.0000  1.01

---

No. 2
The following is a GGA-PBE calculation of crystalline InCo3 at its relaxed geometry, from the Alexandria database.

Results
Symmetry   No. 194
Calculated volume   13.4 Å³ per atom
E_tot   -46.576 eV for the cell shown
Size of the total moment   4.598 μB per formula unit
Theoretical density   9.03 Mg/m³

a b c (Å): 5.4008 5.4008 4.2438
angles (deg): 90.00 90.00 120.00
Each line ends with the local moment (μB).
Fractional positions:
Co 0.8475 0.6950 0.2500  1.57
Co 0.8475 0.1525 0.2500  1.57
Co 0.3050 0.1525 0.2500  1.57
Co 0.1525 0.3050 0.7500  1.57
Co 0.6950 0.8475 0.7500  1.57
Co 0.1525 0.8475 0.7500  1.57
In 0.3333 0.6667 0.2500  -0.07
In 0.6667 0.3333 0.7500  -0.07

---

No. 3
The following is a GGA-PBE calculation of crystalline In3Co at its relaxed geometry, from the Alexandria database.

Results
Symmetry   No. 123
Calculated volume   21.0 Å³ per atom
E_tot   -14.761 eV for the cell shown
Size of the total moment   0.607 μB per formula unit
Theoretical density   7.99 Mg/m³

a b c (Å): 3.1115 3.1115 8.6623
angles (deg): 90.00 90.00 90.00
Each line ends with the local moment (μB).
Fractional positions:
Co 0.0000 0.0000 0.0000  0.64
In 0.5000 0.5000 0.1862  -0.01
In 0.0000 0.0000 0.5000  0.00
In 0.5000 0.5000 0.8138  -0.01

---

No. 4
The following is a GGA-PBE calculation of crystalline In3Co at its relaxed geometry, from the Alexandria database.

Results
Symmetry   No. 225
Calculated volume   21.1 Å³ per atom
E_tot   -13.566 eV for the cell shown
Size of the total moment   0.998 μB per formula unit
Theoretical density   7.93 Mg/m³

a b c (Å): 4.9252 4.9252 4.9252
angles (deg): 60.00 60.00 60.00
Each line ends with the local moment (μB).
Fractional positions:
In 0.7500 0.7500 0.7500  -0.02
In 0.2500 0.2500 0.2500  -0.02
In 0.5000 0.5000 0.5000  -0.01
Co 0.0000 0.0000 0.0000  1.13

---

No. 5
The following is a GGA-PBE calculation of crystalline InCo2 at its relaxed geometry, from the Alexandria database.

Results
Symmetry   No. 12
Calculated volume   14.4 Å³ per atom
E_tot   -32.624 eV for the cell shown
Size of the total moment   2.971 μB per formula unit
Theoretical density   8.96 Mg/m³

a b c (Å): 5.0988 5.0988 6.6406
angles (deg): 70.03 70.03 32.32
Each line ends with the local moment (μB).
Fractional positions:
Co 0.8665 0.8665 0.5294  1.65
Co 0.5368 0.5368 0.2489  1.42
Co 0.1335 0.1335 0.4706  1.65
Co 0.4632 0.4632 0.7511  1.42
In 0.8327 0.8327 0.1392  -0.05
In 0.1673 0.1673 0.8608  -0.05

---

No. 6
The following is a GGA-PBE calculation of crystalline In3Co at its relaxed geometry, from the Alexandria database.

Results
Symmetry   No. 187
Calculated volume   21.6 Å³ per atom
E_tot   -14.399 eV for the cell shown
Size of the total moment   0.756 μB per formula unit
Theoretical density   7.75 Mg/m³

a b c (Å): 3.2387 3.2387 9.5190
angles (deg): 90.00 90.00 120.00
Each line ends with the local moment (μB).
Fractional positions:
In 0.0000 0.0000 0.5000  -0.01
In 0.6667 0.3333 0.8013  -0.02
In 0.6667 0.3333 0.1987  -0.02
Co 0.0000 0.0000 0.0000  0.86

---

No. 7
The following is a GGA-PBE calculation of crystalline InCo3 at its relaxed geometry, from the Alexandria database.

Results
Symmetry   No. 25
Calculated volume   13.4 Å³ per atom
E_tot   -23.048 eV for the cell shown
Size of the total moment   4.267 μB per formula unit
Theoretical density   9.04 Mg/m³

a b c (Å): 2.7869 4.1949 4.5837
angles (deg): 90.00 90.00 90.00
Each line ends with the local moment (μB).
Fractional positions:
Co 0.5000 0.5000 0.8330  1.40
Co 0.5000 0.0000 0.5332  1.40
Co 0.0000 0.0000 0.9676  1.64
In 0.0000 0.5000 0.3329  -0.07

---

No. 8
The following is a GGA-PBE calculation of crystalline InCo2 at its relaxed geometry, from the Alexandria database.

Results
Symmetry   No. 8
Calculated volume   14.8 Å³ per atom
E_tot   -32.298 eV for the cell shown
Size of the total moment   2.662 μB per formula unit
Theoretical density   8.70 Mg/m³

a b c (Å): 4.9814 4.9814 6.5166
angles (deg): 84.27 84.27 33.53
Each line ends with the local moment (μB).
Fractional positions:
Co 0.9581 0.9581 0.0856  1.57
Co 0.7142 0.7142 0.6059  0.90
Co 0.6133 0.6133 0.2663  1.44
Co 0.3238 0.3238 0.3332  1.66
In 0.2384 0.2384 0.9432  -0.06
In 0.9856 0.9856 0.5991  -0.05